Entry 1:
Here is a relaxed structure of Ho5TmTh from Alexandria via LeMat-Bulk. Energies are from GGA-PBE.

Geometry as POSCAR:
```
Ho5TmTh
1.0
6.2827 0.0000 0.0000
0.0000 7.7706 0.0000
-3.1414 -3.8853 5.8449
Ho Th Tm
5 1 1
direct
0.6123 0.7512 0.5023 Ho
0.1186 0.5000 0.0000 Ho
0.8673 0.8184 0.0000 Ho
0.8673 0.1816 0.0000 Ho
0.1100 0.2488 0.4977 Ho
0.5870 0.5000 0.0000 Th
0.3683 0.0000 0.0000 Tm
```

Computed properties:
mass density	7132	kg/m³
symmetry	Imm2
polymorph energy (0 for the lowest one)	0.861	eV per atom

Entry 2:
Here is a relaxed structure of HoErO4 from Alexandria via LeMat-Bulk. Energies are from GGA-PBE.

Geometry as POSCAR:
```
HoErO4
1.0
-2.7074 2.3181 0.9767
-0.0969 -3.6279 1.3500
3.5254 2.2012 4.5481
O Er Ho
4 1 1
direct
0.6560 0.3120 0.8038 O
0.3969 0.7937 0.1035 O
0.1030 0.2060 0.3943 O
0.8440 0.6880 0.6987 O
0.0682 0.1363 0.0217 Er
0.4320 0.8640 0.4781 Ho
```

Computed properties:
mass density	8538	kg/m³
uncorrected formation energy	-3007	meV per atom
symmetry	Cm

Entry 3:
Here is a relaxed structure of Ba12Mg3Cl5 from Alexandria via LeMat-Bulk. Energies are from GGA-PBE.

Geometry as POSCAR:
```
Ba12Mg3Cl5
1.0
17.2926 0.0000 0.0000
-5.7642 16.3036 0.0000
-5.7642 -8.1518 14.1193
Cl Mg Ba
20 12 48
direct
0.0000 0.5000 0.5000 Cl
0.5000 0.5000 0.5000 Cl
0.7500 0.1250 0.8750 Cl
0.5000 0.0000 0.0000 Cl
0.0000 0.0000 0.0000 Cl
0.1250 0.7500 0.3750 Cl
0.7500 0.6250 0.3750 Cl
0.3750 0.1250 0.7500 Cl
0.0000 0.5000 0.0000 Cl
0.5000 0.5000 0.0000 Cl
0.1250 0.3750 0.2500 Cl
0.2500 0.3750 0.6250 Cl
0.6250 0.7500 0.8750 Cl
0.0000 0.0000 0.5000 Cl
0.5000 0.0000 0.5000 Cl
0.3750 0.2500 0.1250 Cl
0.6250 0.8750 0.2500 Cl
0.8750 0.6250 0.7500 Cl
0.2500 0.8750 0.1250 Cl
0.8750 0.2500 0.6250 Cl
0.6250 0.3750 0.7500 Mg
0.6250 0.2500 0.3750 Mg
0.7500 0.3750 0.1250 Mg
0.2500 0.1250 0.3750 Mg
0.2500 0.6250 0.8750 Mg
0.1250 0.8750 0.7500 Mg
0.3750 0.7500 0.6250 Mg
0.3750 0.6250 0.2500 Mg
0.8750 0.7500 0.1250 Mg
0.1250 0.2500 0.8750 Mg
0.7500 0.8750 0.6250 Mg
0.8750 0.1250 0.2500 Mg
0.5348 0.3194 0.9130 Ba
0.6806 0.2154 0.5937 Ba
0.5870 0.9652 0.6806 Ba
0.9063 0.8194 0.7846 Ba
0.5870 0.6218 0.4063 Ba
0.8194 0.9130 0.0348 Ba
0.0870 0.9063 0.1218 Ba
0.1218 0.4063 0.0870 Ba
0.4652 0.6806 0.0870 Ba
0.0870 0.1806 0.4652 Ba
0.8782 0.2846 0.4652 Ba
0.9130 0.8194 0.5348 Ba
0.8194 0.9063 0.2846 Ba
0.2154 0.6806 0.0937 Ba
0.2846 0.8782 0.9652 Ba
0.0937 0.1806 0.2154 Ba
0.2154 0.5348 0.6218 Ba
0.1806 0.0937 0.7154 Ba
0.1806 0.0870 0.9652 Ba
0.6218 0.5870 0.9063 Ba
0.8782 0.5937 0.9130 Ba
0.9652 0.5870 0.1806 Ba
0.4063 0.1218 0.5870 Ba
0.3782 0.4130 0.0937 Ba
0.5937 0.7154 0.6806 Ba
0.0348 0.4130 0.8194 Ba
0.4652 0.7846 0.8782 Ba
0.7846 0.4652 0.3782 Ba
0.9652 0.3782 0.2846 Ba
0.7154 0.5937 0.1806 Ba
0.6218 0.0348 0.2154 Ba
0.0937 0.9130 0.3782 Ba
0.9130 0.0937 0.8782 Ba
0.4063 0.2846 0.3194 Ba
0.6806 0.4652 0.5870 Ba
0.3194 0.5348 0.4130 Ba
0.3194 0.7846 0.4063 Ba
0.5348 0.2154 0.1218 Ba
0.4130 0.3782 0.5937 Ba
0.4130 0.0348 0.3194 Ba
0.7154 0.1218 0.0348 Ba
0.9063 0.0870 0.6218 Ba
0.2846 0.4063 0.8194 Ba
0.7846 0.3194 0.9063 Ba
0.5937 0.8782 0.4130 Ba
0.1218 0.7154 0.5348 Ba
0.0348 0.6218 0.7154 Ba
0.3782 0.9652 0.7846 Ba
```

Computed properties:
mass density	3167	kg/m³
uncorrected formation energy	-822	meV per atom
symmetry	Ia-3d

Entry 4:
Here is a relaxed structure of Pm2Y4Ge3H2 from Alexandria via LeMat-Bulk. Energies are from GGA-PBE.

Geometry as POSCAR:
```
Pm2Y4Ge3H2
1.0
4.5865 0.0000 0.0000
0.0000 4.5865 0.0000
-2.2932 -2.2932 11.8427
Y Pm Ge H
4 2 3 2
direct
0.9200 0.4200 0.8400 Y
0.0800 0.5800 0.1600 Y
0.4200 0.9200 0.8400 Y
0.5800 0.0800 0.1600 Y
0.7011 0.7011 0.4022 Pm
0.2989 0.2989 0.5978 Pm
0.8303 0.8303 0.6605 Ge
0.1697 0.1697 0.3395 Ge
0.0000 0.0000 0.0000 Ge
0.5976 0.5976 0.1951 H
0.4024 0.4024 0.8049 H
```

Computed properties:
uncorrected energy	-0.41964	Ry/atom
mass density	5769	kg/m³
symmetry	I4/mmm